Compound: Eu2Se3
Source: Alexandria via LeMat-Bulk
Functional: PBE-GGA
Structure: optimized geometry

The calculation puts the formation energy (no corrections) at -1.477 eV/atom. The total magnetization is 2.395 μB per atom. The raw total energy comes out at -7.677 eV per atom.

The structure belongs to space group Fddd (No. 70, origin choice 2); the cell edges are 8.6162, 11.9896 and 25.5805 Å and the angles 90.00°, 90.00° and 90.00°. The inequivalent atoms are Eu at (0.1250, 0.1250, 0.0390), Eu at (0.1250, 0.1250, 0.3803), Se at (0.1036, 0.3750, 0.3750) and Se at (0.1096, 0.3686, 0.2041).